<one>
CrMoOs2 | PBE | optimized geometry

a = 4.6773 Å, b = 4.6773 Å, c = 4.7392 Å
α = 99.76°, β = 99.76°, γ = 33.90°
Sites, in units of the cell vectors:
Cr 0.0000 0.0000 0.0000
Mo 0.5000 0.5000 0.5000
Os 0.2568 0.2568 0.7673
Os 0.7432 0.7432 0.2327

Calculated values
Fermi-level density of states = 4.2 states/eV/cell

---

<two>
CrMoOs2 | PBE | optimized geometry

a = 2.6936 Å, b = 4.0196 Å, c = 5.3350 Å
α = 90.00°, β = 99.32°, γ = 90.00°
Sites, in units of the cell vectors:
Cr 0.0000 0.0000 0.0000
Mo 0.3514 0.5000 0.2422
Os 0.4967 0.5000 0.7565
Os 0.8914 0.0000 0.5158

Calculated values
Fermi-level density of states = 3.8 states/eV/cell

---

<three>
CrMoOs2 | PBE | optimized geometry

a = 9.0162 Å, b = 9.0162 Å, c = 9.0162 Å
α = 17.34°, β = 17.34°, γ = 17.34°
Sites, in units of the cell vectors:
Cr 0.0000 0.0000 0.0000
Mo 0.5000 0.5000 0.5000
Os 0.2544 0.2544 0.2544
Os 0.7456 0.7456 0.7456

Calculated values
Fermi-level density of states = 4.9 states/eV/cell

---

Short version: <two> is the least stable of them.

---

<one>
Cr3MoOs | PBE | optimized geometry

a = 4.3323 Å, b = 4.3323 Å, c = 4.3323 Å
α = 90.00°, β = 90.00°, γ = 90.00°
Sites, in units of the cell vectors:
Cr 0.0000 0.0000 0.5000
Cr 0.0000 0.5000 0.0000
Cr 0.5000 0.0000 0.0000
Mo 0.0000 0.0000 0.0000
Os 0.5000 0.5000 0.5000

Calculated values
Fermi-level density of states = 8.8 states/eV/cell

---

<two>
Cr3MoOs | PBE | optimized geometry

a = 4.6083 Å, b = 4.6083 Å, c = 4.6083 Å
α = 90.00°, β = 90.00°, γ = 90.00°
Sites, in units of the cell vectors:
Cr 0.0000 0.0000 0.5000
Cr 0.0000 0.5000 0.0000
Cr 0.5000 0.0000 0.0000
Mo 0.5000 0.5000 0.5000
Os 0.0000 0.0000 0.0000

Calculated values
Fermi-level density of states = 5.0 states/eV/cell

---

Short version: <one> is the least stable of them.

---

<one>
CrMo3P | PBE | optimized geometry

a = 4.4665 Å, b = 4.4665 Å, c = 4.4665 Å
α = 90.00°, β = 90.00°, γ = 90.00°
Sites, in units of the cell vectors:
Cr 0.0000 0.0000 0.0000
Mo 0.0000 0.0000 0.5000
Mo 0.0000 0.5000 0.0000
Mo 0.5000 0.0000 0.0000
P 0.5000 0.5000 0.5000

Calculated values
Fermi-level density of states = 8.1 states/eV/cell

---

<two>
CrMo3P | PBE | optimized geometry

a = 4.4019 Å, b = 4.4019 Å, c = 4.4019 Å
α = 90.00°, β = 90.00°, γ = 90.00°
Sites, in units of the cell vectors:
Cr 0.0000 0.0000 0.0000
Mo 0.0000 0.5000 0.5000
Mo 0.5000 0.0000 0.5000
Mo 0.5000 0.5000 0.0000
P 0.5000 0.5000 0.5000

Calculated values
Fermi-level density of states = 13.0 states/eV/cell

---

Short version: <one> is the least stable of them.

---

<one>
CrMoPS2 | PBE | optimized geometry

a = 4.6585 Å, b = 4.6585 Å, c = 4.7701 Å
α = 90.00°, β = 90.00°, γ = 90.00°
Sites, in units of the cell vectors:
Cr 0.0000 0.0000 0.0000
Mo 0.5000 0.5000 0.5000
P 0.5000 0.5000 0.0000
S 0.0000 0.5000 0.5000
S 0.5000 0.0000 0.5000

Calculated values
Fermi-level density of states = 3.9 states/eV/cell

---

<two>
CrMoPS2 | PBE | optimized geometry

a = 4.4904 Å, b = 4.4904 Å, c = 4.5215 Å
α = 90.00°, β = 90.00°, γ = 90.00°
Sites, in units of the cell vectors:
Cr 0.0000 0.0000 0.0000
Mo 0.5000 0.5000 0.5000
P 0.0000 0.0000 0.5000
S 0.0000 0.5000 0.0000
S 0.5000 0.0000 0.0000

Calculated values
Fermi-level density of states = 3.3 states/eV/cell

---

Short version: <two> is the least stable of them.